This record from the Open Quantum Materials Database describes TmTlZn after structural relaxation. The functional is PBE.

Summary:
Calculated volume in Å³ per atom: 24.0
Energy in eV/cell: -8.8
Space group: F-43m

Cell lengths 4.6700, 4.6700, 4.6700 Å; angles 60.00, 60.00, 60.00 degrees
Atoms (fractional coordinates):
Tl (0.2500, 0.2500, 0.2500)
Zn (0.0000, 0.0000, 0.0000)
Tm (0.7500, 0.7500, 0.7500)

---

This record from the Open Quantum Materials Database describes TmTlZn after structural relaxation. The functional is PBE.

Summary:
Calculated volume in Å³ per atom: 27.6
Energy in eV/cell: -7.6
Space group: F-43m

Cell lengths 4.8921, 4.8921, 4.8921 Å; angles 60.00, 60.00, 60.00 degrees
Atoms (fractional coordinates):
Zn (0.7500, 0.7500, 0.7500)
Tm (0.0000, 0.0000, 0.0000)
Tl (0.2500, 0.2500, 0.2500)

---

This record from the Open Quantum Materials Database describes Tm3Tl2Zn3 after structural relaxation. The functional is PBE.

Summary:
Calculated volume in Å³ per atom: 26.3
Energy in eV/cell: -20.4
Space group: R-3m

Cell lengths 7.3238, 7.3238, 7.3238 Å; angles 49.80, 49.80, 49.80 degrees
Atoms (fractional coordinates):
Tm (0.5000, 0.0000, 0.5000)
Zn (0.0609, 0.0609, 0.0609)
Tm (0.5000, 0.5000, 0.0000)
Tm (0.0000, 0.5000, 0.5000)
Tl (0.1948, 0.1948, 0.1948)
Tl (0.8052, 0.8052, 0.8052)
Zn (0.9391, 0.9391, 0.9391)
Zn (0.5000, 0.5000, 0.5000)

---

This record from the Open Quantum Materials Database describes TmZrTl after structural relaxation. The functional is PBE.

Summary:
Calculated volume in Å³ per atom: 28.7
Offset from the most stable computed form in kJ/mol of formula units: 0
Space group: F-43m

Cell lengths 4.9560, 4.9560, 4.9560 Å; angles 60.00, 60.00, 60.00 degrees
Atoms (fractional coordinates):
Tl (0.0000, 0.0000, 0.0000)
Tm (0.2500, 0.2500, 0.2500)
Zr (0.7500, 0.7500, 0.7500)

---

This record from the Open Quantum Materials Database describes UTl after structural relaxation. The functional is PBE.

Summary:
Calculated volume in Å³ per atom: 31.5
Energy in eV/cell: -11.5
Space group: Fm-3m

Cell lengths 4.4660, 4.4660, 4.4660 Å; angles 60.00, 60.00, 60.00 degrees
Site moments in Bohr magnetons follow the coordinates.
Atoms (fractional coordinates):
U (0.5000, 0.5000, 0.5000)  2.49
Tl (0.0000, 0.0000, 0.0000)  0.04

---

This record from the Open Quantum Materials Database describes UTl3 after structural relaxation. The functional is PBE.

Summary:
Calculated volume in Å³ per atom: 26.8
Energy in eV/cell: -17.4
Space group: Pm-3m

Cell lengths 4.7483, 4.7483, 4.7483 Å; angles 90.00, 90.00, 90.00 degrees
Site moments in Bohr magnetons follow the coordinates.
Atoms (fractional coordinates):
Tl (0.5000, 0.0000, 0.5000)  -0.01
U (0.0000, 0.0000, 0.0000)  2.51
Tl (0.5000, 0.5000, 0.0000)  0.01
Tl (0.0000, 0.5000, 0.5000)  0.01

---

This record from the Open Quantum Materials Database describes UTl after structural relaxation. The functional is PBE.

Summary:
Calculated volume in Å³ per atom: 42.4
Energy in eV/cell: -10.0
Space group: F-43m

Cell lengths 4.9321, 4.9321, 4.9321 Å; angles 60.00, 60.00, 60.00 degrees
Site moments in Bohr magnetons follow the coordinates.
Atoms (fractional coordinates):
U (0.2500, 0.2500, 0.2500)  2.66
Tl (0.0000, 0.0000, 0.0000)  0.05

---

This record from the Open Quantum Materials Database describes ZrUTl after structural relaxation. The functional is PBE.

Summary:
Calculated volume in Å³ per atom: 30.1
Offset from the most stable computed form in kJ/mol of formula units: 68
Space group: F-43m

Cell lengths 5.0334, 5.0334, 5.0334 Å; angles 60.00, 60.00, 60.00 degrees
Atoms (fractional coordinates):
Tl (0.2500, 0.2500, 0.2500)
Zr (0.7500, 0.7500, 0.7500)
U (0.0000, 0.0000, 0.0000)

---

This record from the Open Quantum Materials Database describes ZrUTl after structural relaxation. The functional is PBE.

Summary:
Calculated volume in Å³ per atom: 28.3
Offset from the most stable computed form in kJ/mol of formula units: 0
Space group: F-43m

Cell lengths 4.9338, 4.9338, 4.9338 Å; angles 60.00, 60.00, 60.00 degrees
Atoms (fractional coordinates):
Zr (0.7500, 0.7500, 0.7500)
Tl (0.0000, 0.0000, 0.0000)
U (0.2500, 0.2500, 0.2500)

---

This record from the Open Quantum Materials Database describes TlW2 after structural relaxation. The functional is PBE.

Summary:
Calculated volume in Å³ per atom: 19.1
Energy in eV/cell: -50.9
Space group: Fd-3m

Cell lengths 5.4542, 5.4542, 5.4542 Å; angles 60.00, 60.00, 60.00 degrees
Atoms (fractional coordinates):
W (0.6250, 0.6250, 0.6250)
Tl (0.2500, 0.2500, 0.2500)
W (0.6250, 0.1250, 0.6250)
W (0.6250, 0.6250, 0.1250)
Tl (0.0000, 0.0000, 0.0000)
W (0.1250, 0.6250, 0.6250)

---

This record from the Open Quantum Materials Database describes YTlW after structural relaxation. The functional is PBE.

Summary:
Calculated volume in Å³ per atom: 26.0
Energy in eV/cell: -18.6
Space group: F-43m

Cell lengths 4.7944, 4.7944, 4.7944 Å; angles 60.00, 60.00, 60.00 degrees
Atoms (fractional coordinates):
W (0.2500, 0.2500, 0.2500)
Tl (0.0000, 0.0000, 0.0000)
Y (0.7500, 0.7500, 0.7500)

---

This record from the Open Quantum Materials Database describes Tl2ZnW after structural relaxation. The functional is PBE.

Summary:
Calculated volume in Å³ per atom: 22.2
Energy in eV/cell: -14.3
Space group: F-43m

Cell lengths 5.0082, 5.0082, 5.0082 Å; angles 60.00, 60.00, 60.00 degrees
Site moments in Bohr magnetons follow the coordinates.
Atoms (fractional coordinates):
Zn (0.5000, 0.5000, 0.5000)  0.00
W (0.7500, 0.7500, 0.7500)  2.21
Tl (0.2500, 0.2500, 0.2500)  0.03
Tl (0.0000, 0.0000, 0.0000)  0.02